VASP calculation (PBE-GGA) on a relaxed structure of Li2TeBr.

Properties
M_tot in μB per formula unit: 0.00
Final energy in eV per cell: -12.219
Formation energy (no corrections) in eV per atom: -0.89
Theoretical density in g cm⁻³: 3.862

Cell lengths 7.5236, 5.5507, 3.3636 Å; angles 73.41, 88.52, 132.06 degrees
Fractional positions:
Br: 0.5000 0.5000 0.0000
Li: 0.0000 0.0000 0.0000
Li: 0.5000 0.0000 0.5000
Te: 0.0000 0.5000 0.5000